Entry 1:
First-principles (GGA-PBE) data for a geometry-optimized PmY3Tm2As6 structure, as listed in the Alexandria database.

Energy relative to the elements: -1528 meV per atom
ρ: 6.69 Mg/m³
Space-group type: C2/m
DFT total energy: -6.61 eV/atom
Size of the total moment: 0.000 Bohr magnetons per cell

a b c (Å): 7.1429 7.1429 7.1432
angles (deg): 99.59 99.59 119.99
Fractional positions:
Tm  0.6671  0.3329  0.0000
Tm  0.3329  0.6671  0.0000
Pm  0.0000  0.0000  0.0000
As  0.2564  0.2564  0.7513
As  0.9167  0.5775  0.7503
As  0.5775  0.9167  0.7503
As  0.0833  0.4225  0.2497
As  0.7436  0.7436  0.2487
As  0.4225  0.0833  0.2497
Y  0.1652  0.8348  0.5000
Y  0.8348  0.1652  0.5000
Y  0.5000  0.5000  0.5000

---

Entry 2:
First-principles (GGA-PBE) data for a geometry-optimized Pm2YTmAs4 structure, as listed in the Alexandria database.

Energy relative to the elements: -1524 meV per atom
ρ: 6.88 Mg/m³
Space-group type: P2/m
DFT total energy: -6.40 eV/atom
Size of the total moment: 0.000 Bohr magnetons per cell

a b c (Å): 4.1701 7.2191 7.2118
angles (deg): 109.49 90.00 90.00
Fractional positions:
As  0.5000  0.2492  0.2419
As  0.0000  0.2550  0.7594
As  0.0000  0.7450  0.2406
As  0.5000  0.7508  0.7581
Y  0.0000  0.0000  0.0000
Tm  0.5000  0.5000  0.0000
Pm  0.0000  0.5000  0.5000
Pm  0.5000  0.0000  0.5000

---

Entry 3:
First-principles (GGA-PBE) data for a geometry-optimized PmY2TmAs4 structure, as listed in the Alexandria database.

Energy relative to the elements: -1529 meV per atom
ρ: 6.55 Mg/m³
Space-group type: P2/m
DFT total energy: -6.62 eV/atom
Size of the total moment: 0.000 Bohr magnetons per cell

a b c (Å): 4.1410 7.1682 7.1661
angles (deg): 70.53 90.00 90.00
Fractional positions:
Tm  0.0000  0.5000  0.5000
As  0.0000  0.7530  0.7440
As  0.5000  0.2506  0.7449
As  0.5000  0.7494  0.2551
As  0.0000  0.2470  0.2560
Pm  0.5000  0.5000  0.0000
Y  0.0000  0.0000  0.0000
Y  0.5000  0.0000  0.5000

---

Entry 4:
First-principles (GGA-PBE) data for a geometry-optimized Pm3Y2TmAs6 structure, as listed in the Alexandria database.

Energy relative to the elements: -1528 meV per atom
ρ: 6.64 Mg/m³
Space-group type: C2/m
DFT total energy: -6.49 eV/atom
Size of the total moment: 0.000 Bohr magnetons per cell

a b c (Å): 4.1743 8.3383 9.3246
angles (deg): 102.84 102.93 90.00
Fractional positions:
Pm  0.1669  0.8335  0.3338
Pm  0.5000  0.5000  0.0000
Pm  0.8331  0.1665  0.6662
As  0.3360  0.9137  0.6719
As  0.9987  0.7568  0.9975
As  0.6682  0.5795  0.3363
As  0.6640  0.0863  0.3281
As  0.3318  0.4205  0.6637
As  0.0013  0.2432  0.0025
Y  0.1663  0.3329  0.3327
Y  0.8337  0.6671  0.6673
Tm  0.5000  0.0000  0.0000

---

Entry 5:
First-principles (GGA-PBE) data for a geometry-optimized Pm2TmZrAs4 structure, as listed in the Alexandria database.

Energy relative to the elements: -1418 meV per atom
ρ: 7.28 Mg/m³
Space-group type: P2/m
DFT total energy: -6.56 eV/atom
Size of the total moment: 0.000 Bohr magnetons per cell

a b c (Å): 4.0878 7.0809 7.0938
angles (deg): 109.30 90.00 90.00
Fractional positions:
Tm  0.5000  0.5000  0.0000
Zr  0.0000  0.0000  0.0000
As  0.0000  0.7504  0.2344
As  0.5000  0.2388  0.2314
As  0.0000  0.2496  0.7656
As  0.5000  0.7612  0.7686
Pm  0.0000  0.5000  0.5000
Pm  0.5000  0.0000  0.5000

---

Entry 6:
First-principles (GGA-PBE) data for a geometry-optimized PmTm2ZrAs4 structure, as listed in the Alexandria database.

Energy relative to the elements: -1395 meV per atom
ρ: 7.72 Mg/m³
Space-group type: P2/m
DFT total energy: -6.50 eV/atom
Size of the total moment: 0.000 Bohr magnetons per cell

a b c (Å): 4.0487 7.0210 7.0047
angles (deg): 109.28 90.00 90.00
Fractional positions:
Pm  0.5000  0.5000  0.0000
As  0.5000  0.7612  0.7536
As  0.0000  0.2383  0.7464
As  0.5000  0.2388  0.2464
As  0.0000  0.7617  0.2536
Tm  0.5000  0.0000  0.5000
Tm  0.0000  0.5000  0.5000
Zr  0.0000  0.0000  0.0000

---

Entry 7:
First-principles (GGA-PBE) data for a geometry-optimized Pm3UAs4 structure, as listed in the Alexandria database.

Energy relative to the elements: -1324 meV per atom
ρ: 7.74 Mg/m³
Space-group type: Cmmm
DFT total energy: -6.84 eV/atom
Size of the total moment: 2.325 Bohr magnetons per cell

a b c (Å): 4.1803 7.2689 7.2689
angles (deg): 109.14 90.00 90.00
Last column: magnetic moment on the atom in μB.
Fractional positions:
Pm  0.0000  0.5000  0.0000  0.02
Pm  0.5000  0.5000  0.5000  0.03
Pm  0.0000  0.0000  0.5000  0.02
As  0.5000  0.7564  0.2436  -0.03
As  0.0000  0.7580  0.7580  -0.04
As  0.0000  0.2420  0.2420  -0.04
As  0.5000  0.2436  0.7564  -0.03
U  0.5000  0.0000  0.0000  2.15

---

Entry 8:
First-principles (GGA-PBE) data for a geometry-optimized Pm5U3As8 structure, as listed in the Alexandria database.

Energy relative to the elements: -1226 meV per atom
ρ: 8.22 Mg/m³
Space-group type: R-3m
DFT total energy: -7.15 eV/atom
Size of the total moment: 7.188 Bohr magnetons per cell

a b c (Å): 8.3175 8.3175 8.3836
angles (deg): 60.26 60.26 60.00
Last column: magnetic moment on the atom in μB.
Fractional positions:
As  0.7501  0.2408  0.2590  -0.04
As  0.7501  0.7501  0.2590  -0.04
As  0.2499  0.7592  0.7410  -0.04
As  0.7533  0.7533  0.7400  -0.05
As  0.7592  0.2499  0.7410  -0.04
As  0.2408  0.7501  0.2590  -0.04
As  0.2467  0.2467  0.2600  -0.05
As  0.2499  0.2499  0.7410  -0.04
U  0.0000  0.5000  0.5000  2.21
U  0.5000  0.0000  0.5000  2.21
U  0.0000  0.0000  0.5000  2.21
Pm  0.0000  0.0000  0.0000  0.02
Pm  0.5000  0.0000  0.0000  0.03
Pm  0.5000  0.5000  0.5000  0.02
Pm  0.0000  0.5000  0.0000  0.03
Pm  0.5000  0.5000  0.0000  0.03